[1]
Cs4TbNd3Te8: relaxed, PBE-GGA.

**Symmetry**: R-3m

Unit cell a=9.3031 b=10.4324 c=9.3036 alpha=116.49 beta=120.00 gamma=90.00
Fractional coordinates of all 16 atoms:
Cs 0.5000 0.0000 0.0000
Cs 0.5000 0.0000 0.5000
Cs 0.0000 0.0000 0.0000
Cs 0.0000 0.0000 0.5000
Tb 0.0000 0.5000 0.0000
Nd 0.5000 0.5000 0.0000
Nd 0.5000 0.5000 0.5000
Nd 0.0000 0.5000 0.5000
Te 0.2280 0.6931 0.9650
Te 0.2281 0.6931 0.4561
Te 0.2680 0.3041 0.5361
Te 0.7370 0.6931 0.9650
Te 0.2630 0.3069 0.0350
Te 0.7320 0.6959 0.4639
Te 0.7719 0.3069 0.5439
Te 0.7720 0.3069 0.0350

[2]
Cs4Tb3NdTe8: relaxed, PBE-GGA.

**Symmetry**: R-3m

Unit cell a=9.1959 b=10.3920 c=9.1965 alpha=116.28 beta=120.00 gamma=90.00
Fractional coordinates of all 16 atoms:
Cs 0.5000 0.0000 0.0000
Cs 0.5000 0.0000 0.5000
Cs 0.0000 0.0000 0.0000
Cs 0.0000 0.0000 0.5000
Tb 0.5000 0.5000 0.0000
Tb 0.5000 0.5000 0.5000
Tb 0.0000 0.5000 0.5000
Nd 0.0000 0.5000 0.0000
Te 0.2336 0.6919 0.9584
Te 0.2336 0.6919 0.4673
Te 0.2701 0.3106 0.5403
Te 0.7248 0.6919 0.9584
Te 0.2752 0.3081 0.0416
Te 0.7299 0.6894 0.4597
Te 0.7664 0.3081 0.5327
Te 0.7664 0.3081 0.0416

[3]
Cs3Nd5Te12: relaxed, PBE-GGA.

**Symmetry**: Ia-3d

Unit cell a=17.1063 b=17.1063 c=17.1063 alpha=109.47 beta=109.47 gamma=109.47
Fractional coordinates of all 80 atoms:
Cs 0.7500 0.3750 0.1250
Cs 0.8750 0.7500 0.1250
Cs 0.3750 0.7500 0.6250
Cs 0.2500 0.1250 0.3750
Cs 0.8750 0.1250 0.2500
Cs 0.3750 0.6250 0.2500
Cs 0.6250 0.3750 0.7500
Cs 0.1250 0.8750 0.7500
Cs 0.7500 0.8750 0.6250
Cs 0.6250 0.2500 0.3750
Cs 0.1250 0.2500 0.8750
Cs 0.2500 0.6250 0.8750
Nd 0.1250 0.3750 0.2500
Nd 0.0000 0.5000 0.0000
Nd 0.0000 0.0000 0.0000
Nd 0.3750 0.2500 0.1250
Nd 0.5000 0.0000 0.5000
Nd 0.5000 0.5000 0.0000
Nd 0.1250 0.7500 0.3750
Nd 0.7500 0.1250 0.8750
Nd 0.7500 0.6250 0.3750
Nd 0.3750 0.1250 0.7500
Nd 0.6250 0.8750 0.2500
Nd 0.5000 0.5000 0.5000
Nd 0.5000 0.0000 0.0000
Nd 0.0000 0.0000 0.5000
Nd 0.2500 0.3750 0.6250
Nd 0.2500 0.8750 0.1250
Nd 0.0000 0.5000 0.5000
Nd 0.8750 0.2500 0.6250
Nd 0.6250 0.7500 0.8750
Nd 0.8750 0.6250 0.7500
Te 0.7048 0.0770 0.0160
Te 0.3112 0.5160 0.4389
Te 0.9840 0.4230 0.2952
Te 0.5160 0.2048 0.0770
Te 0.6278 0.7048 0.6888
Te 0.9840 0.5611 0.1888
Te 0.3112 0.7952 0.3723
Te 0.0611 0.8722 0.0770
Te 0.5611 0.9840 0.6888
Te 0.7048 0.6278 0.1888
Te 0.7952 0.4840 0.4230
Te 0.8112 0.9389 0.0160
Te 0.0770 0.7048 0.5160
Te 0.4230 0.4389 0.1278
Te 0.1278 0.9389 0.4230
Te 0.3723 0.0770 0.5611
Te 0.1278 0.1888 0.2048
Te 0.4840 0.6888 0.0611
Te 0.8112 0.8722 0.2952
Te 0.0770 0.3723 0.0611
Te 0.4230 0.9840 0.7952
Te 0.5611 0.5770 0.3723
Te 0.9389 0.8112 0.5160
Te 0.7952 0.3112 0.8722
Te 0.4389 0.4230 0.6278
Te 0.0611 0.1888 0.4840
Te 0.2048 0.6888 0.1278
Te 0.1888 0.1278 0.7048
Te 0.5770 0.0160 0.2048
Te 0.9230 0.6278 0.9389
Te 0.5160 0.3112 0.9389
Te 0.6278 0.9230 0.4389
Te 0.8722 0.8112 0.7952
Te 0.8722 0.0611 0.5770
Te 0.9230 0.2952 0.4840
Te 0.1888 0.0611 0.9840
Te 0.5770 0.5611 0.8722
Te 0.4389 0.0160 0.3112
Te 0.2952 0.3723 0.8112
Te 0.2048 0.5160 0.5770
Te 0.9389 0.1278 0.9230
Te 0.6888 0.2048 0.6278
Te 0.4840 0.7952 0.9230
Te 0.0160 0.4389 0.8112
Te 0.3723 0.2952 0.3112
Te 0.0160 0.5770 0.7048
Te 0.6888 0.4840 0.5611
Te 0.2952 0.9230 0.9840

[4]
Cs2NdTe6: relaxed, PBE-GGA.

**Symmetry**: C2/m

Unit cell a=5.2355 b=9.7178 c=9.7178 alpha=58.70 beta=78.57 gamma=78.57
Fractional coordinates of all 9 atoms:
Cs 0.5737 0.6720 0.6720
Cs 0.4263 0.3280 0.3280
Nd 0.0000 0.0000 0.0000
Te 0.1061 0.3275 0.9921
Te 0.8939 0.0079 0.6725
Te 0.8939 0.6725 0.0079
Te 0.5000 0.2042 0.7958
Te 0.1061 0.9921 0.3275
Te 0.5000 0.7958 0.2042

[5]
CsNd4Te6: relaxed, PBE-GGA.

**Symmetry**: Cmcm

Unit cell a=4.5814 b=7.9184 c=24.1299 alpha=90.00 beta=90.00 gamma=106.82
Fractional coordinates of all 22 atoms:
Cs 0.6624 0.3248 0.2500
Cs 0.3376 0.6752 0.7500
Nd 0.8664 0.7327 0.5393
Nd 0.4052 0.8103 0.1289
Nd 0.1336 0.2673 0.4607
Nd 0.5948 0.1897 0.8711
Nd 0.8664 0.7327 0.9607
Nd 0.1336 0.2673 0.0393
Nd 0.5948 0.1897 0.6289
Nd 0.4052 0.8103 0.3711
Te 0.5000 0.0000 0.0000
Te 0.5000 0.0000 0.5000
Te 0.0399 0.0799 0.3479
Te 0.9601 0.9201 0.6521
Te 0.9601 0.9201 0.8479
Te 0.0399 0.0799 0.1521
Te 0.7699 0.5397 0.4183
Te 0.2301 0.4603 0.5817
Te 0.2301 0.4603 0.9183
Te 0.7699 0.5397 0.0817
Te 0.3575 0.7149 0.2500
Te 0.6425 0.2851 0.7500

[6]
CsNd4Te6: relaxed, PBE-GGA.

**Symmetry**: I-42m

Unit cell a=8.3223 b=8.3223 c=8.3223 alpha=95.67 beta=116.78 gamma=116.78
Fractional coordinates of all 11 atoms:
Cs 0.0000 0.0000 0.0000
Nd 0.0000 0.2119 0.5907
Nd 0.6212 0.4093 0.4093
Nd 0.0000 0.5907 0.2119
Nd 0.3788 0.7881 0.7881
Te 0.0000 0.8403 0.5335
Te 0.0000 0.5335 0.8403
Te 0.6932 0.1597 0.1597
Te 0.5000 0.0000 0.5000
Te 0.3068 0.4665 0.4665
Te 0.5000 0.5000 0.0000

[7]
CsNdTe4: relaxed, PBE-GGA.

**Symmetry**: P4/mmm

Unit cell a=8.3710 b=8.3710 c=12.2859 alpha=90.00 beta=90.00 gamma=90.00
Fractional coordinates of all 12 atoms:
Cs 0.5000 0.0000 0.5000
Cs 0.0000 0.5000 0.5000
Nd 0.5000 0.0000 0.0000
Nd 0.0000 0.5000 0.0000
Te 0.0000 0.3245 0.7837
Te 0.0000 0.6755 0.7837
Te 0.3245 0.0000 0.7837
Te 0.6755 0.0000 0.2163
Te 0.0000 0.6755 0.2163
Te 0.6755 0.0000 0.7837
Te 0.3245 0.0000 0.2163
Te 0.0000 0.3245 0.2163

[8]
Cs3Nd3ThTe8: relaxed, PBE-GGA.

**Symmetry**: R-3m

Unit cell a=9.2306 b=9.2312 c=10.5701 alpha=115.93 beta=90.00 gamma=120.00
Fractional coordinates of all 15 atoms:
Cs 0.0000 0.0000 0.0000
Cs 0.0000 0.5000 0.0000
Cs 0.5000 0.5000 0.0000
Nd 0.5000 0.0000 0.5000
Nd 0.5000 0.5000 0.5000
Nd 0.0000 0.5000 0.5000
Th 0.0000 0.0000 0.5000
Te 0.2685 0.5369 0.3056
Te 0.7315 0.4631 0.6944
Te 0.7711 0.5421 0.3078
Te 0.2289 0.4579 0.6922
Te 0.7711 0.0365 0.3079
Te 0.2289 0.9635 0.6921
Te 0.2654 0.0365 0.3079
Te 0.7346 0.9635 0.6921

[9]
Cs4NdTh3Te8: relaxed, PBE-GGA.

**Symmetry**: R-3m

Unit cell a=9.1256 b=10.5288 c=9.1254 alpha=115.69 beta=120.00 gamma=90.00
Fractional coordinates of all 16 atoms:
Cs 0.5000 0.0000 0.0000
Cs 0.5000 0.0000 0.5000
Cs 0.0000 0.0000 0.0000
Cs 0.0000 0.0000 0.5000
Nd 0.0000 0.5000 0.0000
Th 0.5000 0.5000 0.0000
Th 0.5000 0.5000 0.5000
Th 0.0000 0.5000 0.5000
Te 0.2346 0.6992 0.9647
Te 0.2346 0.6992 0.4691
Te 0.2667 0.3002 0.5335
Te 0.7301 0.6992 0.9647
Te 0.2699 0.3008 0.0353
Te 0.7333 0.6998 0.4665
Te 0.7654 0.3008 0.5309
Te 0.7654 0.3008 0.0353

[10]
Cs3Nd3TiTe8: relaxed, PBE-GGA.

**Symmetry**: R-3m

Unit cell a=8.9991 b=8.9975 c=10.5427 alpha=115.26 beta=90.00 gamma=120.01
Last column: magnetic moment on the atom in μB.
Fractional coordinates of all 15 atoms:
Cs 0.0000 0.0000 0.0000  0.00
Cs 0.0000 0.5000 0.0000  0.00
Cs 0.5000 0.5000 0.0000  0.00
Nd 0.5000 0.0000 0.5000  0.00
Nd 0.5000 0.5000 0.5000  0.00
Nd 0.0000 0.5000 0.5000  0.00
Ti 0.0000 0.0000 0.5000  0.11
Te 0.2673 0.5346 0.3020  0.00
Te 0.7327 0.4654 0.6980  0.00
Te 0.7888 0.5777 0.3191  0.00
Te 0.2112 0.4223 0.6809  0.00
Te 0.7889 0.0302 0.3191  0.00
Te 0.2111 0.9698 0.6809  0.00
Te 0.2414 0.0302 0.3191  0.00
Te 0.7586 0.9698 0.6809  0.00

[11]
Cs4Nd3TiTe8: relaxed, PBE-GGA.

**Symmetry**: R-3m

Unit cell a=9.1489 b=10.3672 c=9.1497 alpha=116.19 beta=120.00 gamma=90.00
Last column: magnetic moment on the atom in μB.
Fractional coordinates of all 16 atoms:
Cs 0.5000 0.0000 0.0000  0.00
Cs 0.5000 0.0000 0.5000  0.00
Cs 0.0000 0.0000 0.0000  0.00
Cs 0.0000 0.0000 0.5000  0.00
Nd 0.5000 0.5000 0.0000  0.01
Nd 0.5000 0.5000 0.5000  0.01
Nd 0.0000 0.5000 0.5000  0.01
Ti 0.0000 0.5000 0.0000  0.91
Te 0.2167 0.6861 0.9694  -0.02
Te 0.2168 0.6862 0.4335  -0.02
Te 0.2671 0.3015 0.5343  0.00
Te 0.7527 0.6861 0.9694  -0.02
Te 0.2473 0.3139 0.0306  -0.02
Te 0.7329 0.6985 0.4657  0.00
Te 0.7832 0.3138 0.5665  -0.02
Te 0.7833 0.3139 0.0306  -0.02

[12]
CsNdTlTe3: relaxed, PBE-GGA.

**Symmetry**: P2_1/m

Unit cell a=4.7452 b=10.1545 c=11.5823 alpha=107.26 beta=90.00 gamma=90.00
Fractional coordinates of all 12 atoms:
Cs 0.2500 0.2111 0.2461
Cs 0.7500 0.7889 0.7539
Nd 0.2500 0.6647 0.1239
Nd 0.7500 0.3353 0.8761
Tl 0.2500 0.0704 0.6195
Tl 0.7500 0.9296 0.3805
Te 0.7500 0.8753 0.1105
Te 0.2500 0.1247 0.8895
Te 0.2500 0.7591 0.4251
Te 0.7500 0.2409 0.5749
Te 0.7500 0.4652 0.1568
Te 0.2500 0.5348 0.8432

[13]
Cs3NdTm2Te6: relaxed, PBE-GGA.

**Symmetry**: C2/m

Unit cell a=7.9121 b=7.9121 c=9.3042 alpha=98.16 beta=98.16 gamma=120.00
Fractional coordinates of all 12 atoms:
Cs 0.1638 0.8362 0.5000
Cs 0.8362 0.1638 0.5000
Cs 0.5000 0.5000 0.5000
Nd 0.0000 0.0000 0.0000
Tm 0.3330 0.6670 0.0000
Tm 0.6670 0.3330 0.0000
Te 0.9365 0.5930 0.8098
Te 0.7194 0.7194 0.1890
Te 0.0635 0.4070 0.1902
Te 0.5930 0.9365 0.8098
Te 0.2806 0.2806 0.8110
Te 0.4070 0.0635 0.1902

[14]
Cs4Nd3YTe8: relaxed, PBE-GGA.

**Symmetry**: R-3m

Unit cell a=9.2974 b=10.4325 c=9.2979 alpha=116.49 beta=120.00 gamma=90.00
Fractional coordinates of all 16 atoms:
Cs 0.5000 0.0000 0.0000
Cs 0.5000 0.0000 0.5000
Cs 0.0000 0.0000 0.0000
Cs 0.0000 0.0000 0.5000
Nd 0.5000 0.5000 0.0000
Nd 0.5000 0.5000 0.5000
Nd 0.0000 0.5000 0.5000
Y 0.0000 0.5000 0.0000
Te 0.2278 0.6930 0.9653
Te 0.2278 0.6930 0.4557
Te 0.2680 0.3041 0.5360
Te 0.7375 0.6930 0.9653
Te 0.2625 0.3070 0.0347
Te 0.7320 0.6959 0.4640
Te 0.7722 0.3070 0.5443
Te 0.7722 0.3070 0.0347

[15]
Cs3Nd2YTe6: relaxed, PBE-GGA.

**Symmetry**: C2/m

Unit cell a=8.0344 b=8.0344 c=9.3328 alpha=98.25 beta=98.25 gamma=120.00
Fractional coordinates of all 12 atoms:
Cs 0.1689 0.8311 0.5000
Cs 0.8311 0.1689 0.5000
Cs 0.5000 0.5000 0.5000
Nd 0.3336 0.6664 0.0000
Nd 0.6664 0.3336 0.0000
Y 0.0000 0.0000 0.0000
Te 0.9357 0.6093 0.8070
Te 0.7384 0.7384 0.1939
Te 0.0643 0.3907 0.1930
Te 0.6093 0.9357 0.8070
Te 0.2616 0.2616 0.8061
Te 0.3907 0.0643 0.1930

[16]
Cs3Nd3YTe8: relaxed, PBE-GGA.

**Symmetry**: R-3m

Unit cell a=9.0880 b=9.0903 c=10.6216 alpha=115.36 beta=90.00 gamma=119.99
Fractional coordinates of all 15 atoms:
Cs 0.0000 0.0000 0.0000
Cs 0.0000 0.5000 0.0000
Cs 0.5000 0.5000 0.0000
Nd 0.5000 0.0000 0.5000
Nd 0.5000 0.5000 0.5000
Nd 0.0000 0.5000 0.5000
Y 0.0000 0.0000 0.5000
Te 0.2678 0.5355 0.3035
Te 0.7322 0.4645 0.6965
Te 0.7724 0.5447 0.3080
Te 0.2276 0.4553 0.6920
Te 0.7724 0.0354 0.3080
Te 0.2276 0.9646 0.6919
Te 0.2630 0.0354 0.3080
Te 0.7370 0.9646 0.6919

Quick rundown of uncorrected formation energy, same order as above: -32.47; -32.22; -19.46; -16.80; -32.06; -27.24; -9.14; -31.94; -28.37; -28.05; -28.30; -21.77; -31.68; -32.51; -32.49; -30.85 kcal/mol of atoms